First-principles (PBE-GGA) data for a geometry-optimized NaTi2Cd2 structure, as listed in Alexandria.

Properties
The value obtained for the formation energy from the elements is 0.191 eV per atom. Its energy above the most stable polymorph in this dataset is 0 meV/atom. Its density of states at the Fermi level is 9.08 states/eV/cell. For the electronic total energy, the calculation gives -36.0 eV per cell.

Cell and atoms, written as CIF:
```
data_NaTi2Cd2
_chemical_formula_sum 'Na2 Ti4 Cd4'
_symmetry_space_group_name_H-M 'P 4/m b m'
_symmetry_Int_Tables_number 127
_symmetry_space_group_name_Hall '-P 4 2ab'
_cell_length_a 8.536
_cell_length_b 8.536
_cell_length_c 2.990
_cell_angle_alpha 90.00
_cell_angle_beta 90.00
_cell_angle_gamma 90.00
loop_
_atom_site_label
_atom_site_type_symbol
_atom_site_fract_x
_atom_site_fract_y
_atom_site_fract_z
Na1 Na 0.000 0.000 0.000
Ti1 Ti 0.106 0.394 0.000
Cd1 Cd 0.186 0.686 0.500
```


First-principles (PBE-GGA) data for a geometry-optimized BaIn2Sn8 structure, as listed in Alexandria.

Properties
The value obtained for the formation energy from the elements is -0.093 eV per atom. Its density of states at the Fermi level is 9.78 states/eV/cell. For the electronic total energy, the calculation gives -80.9 eV per cell.

Cell and atoms, written as CIF:
```
data_BaIn2Sn8
_chemical_formula_sum 'Ba2 In4 Sn16'
_symmetry_space_group_name_H-M 'C 1 2/m 1'
_symmetry_Int_Tables_number 12
_cell_length_a 6.931
_cell_length_b 6.666
_cell_length_c 14.700
_cell_angle_alpha 90.00
_cell_angle_beta 96.50
_cell_angle_gamma 90.00
loop_
_symmetry_equiv_pos_as_xyz
'x,y,z'
'-x,-y,-z'
'-x,y,-z'
'x,-y,z'
'x+1/2,y+1/2,z'
'-x+1/2,-y+1/2,-z'
'-x+1/2,y+1/2,-z'
'x+1/2,-y+1/2,z'
loop_
_atom_site_label
_atom_site_type_symbol
_atom_site_fract_x
_atom_site_fract_y
_atom_site_fract_z
Ba1 Ba 0.000 0.000 0.000
In1 In 0.107 0.500 0.412
Sn1 Sn 0.033 0.500 0.103
Sn2 Sn 0.099 0.000 0.403
Sn3 Sn 0.187 0.253 0.758
```


First-principles (PBE-GGA) data for a geometry-optimized ReCl structure, as listed in Alexandria.

Properties
Its energy above the most stable polymorph in this dataset is 1502 meV/atom. Its density of states at the Fermi level is 5.05 states/eV/cell. For the electronic total energy, the calculation gives -46.1 eV per cell. The formation energy from raw total energies comes out at 1.39 eV/atom.

Cell and atoms, written as CIF:
```
data_ReCl
_chemical_formula_sum 'Re4 Cl4'
_symmetry_space_group_name_H-M 'P 21 3'
_symmetry_Int_Tables_number 198
_symmetry_space_group_name_Hall 'P 2ac 2ab 3'
_cell_length_a 4.999
_cell_length_b 4.999
_cell_length_c 4.999
_cell_angle_alpha 90.00
_cell_angle_beta 90.00
_cell_angle_gamma 90.00
loop_
_atom_site_label
_atom_site_type_symbol
_atom_site_fract_x
_atom_site_fract_y
_atom_site_fract_z
Re1 Re 0.077 0.077 0.077
Cl1 Cl 0.147 0.647 0.853
```


First-principles (PBE-GGA) data for a geometry-optimized CaLaCo structure, as listed in Alexandria.

Properties
The value obtained for the formation energy from the elements is 0.052 eV per atom. Its energy above the most stable polymorph in this dataset is 97 meV/atom. Its density of states at the Fermi level is 3.55 states/eV/cell. For the electronic total energy, the calculation gives -27.8 eV per cell.

Cell and atoms, written as CIF:
```
data_CaLaCo
_chemical_formula_sum 'Ca2 La2 Co2'
_symmetry_space_group_name_H-M 'I 4 m m'
_symmetry_Int_Tables_number 107
_symmetry_space_group_name_Hall 'I 4 -2'
_cell_length_a 3.478
_cell_length_b 3.478
_cell_length_c 13.433
_cell_angle_alpha 90.00
_cell_angle_beta 90.00
_cell_angle_gamma 90.00
loop_
_atom_site_label
_atom_site_type_symbol
_atom_site_fract_x
_atom_site_fract_y
_atom_site_fract_z
Ca1 Ca 0.000 0.000 0.000
La1 La 0.000 0.000 0.248
Co1 Co 0.000 0.000 0.637
```


First-principles (PBE-GGA) data for a geometry-optimized Sm3ReO7 structure, as listed in Alexandria.

Properties
Its density of states at the Fermi level is 13.82 states/eV/cell. For the electronic total energy, the calculation gives -370.3 eV per cell. The formation energy from raw total energies comes out at -2.84 eV/atom.

Cell and atoms, written as CIF:
```
data_Sm3ReO7
_chemical_formula_sum 'Sm12 Re4 O28'
_symmetry_space_group_name_H-M 'C m c m'
_symmetry_Int_Tables_number 63
_symmetry_space_group_name_Hall '-C 2c 2'
_cell_length_a 10.844
_cell_length_b 7.543
_cell_length_c 7.548
_cell_angle_alpha 90.00
_cell_angle_beta 90.00
_cell_angle_gamma 90.00
loop_
_atom_site_label
_atom_site_type_symbol
_atom_site_fract_x
_atom_site_fract_y
_atom_site_fract_z
Sm1 Sm 0.000 0.000 0.000
Sm2 Sm 0.231 0.290 0.250
Re1 Re 0.000 0.500 0.000
O1 O 0.000 0.454 0.250
O2 O 0.126 0.307 0.529
O3 O 0.133 0.022 0.250
```


First-principles (PBE-GGA) data for a geometry-optimized Li2PmNiH8 structure, as listed in Alexandria.

Properties
Its density of states at the Fermi level is 2.09 states/eV/cell. For the electronic total energy, the calculation gives -45.3 eV per cell.

Cell and atoms, written as CIF:
```
data_Li2PmNiH8
_chemical_formula_sum 'Li2 Pm1 Ni1 H8'
_symmetry_space_group_name_H-M 'P -3 m 1'
_symmetry_Int_Tables_number 164
_symmetry_space_group_name_Hall '-P 3 2"'
_cell_length_a 4.2644
_cell_length_b 4.2644
_cell_length_c 6.1297
_cell_angle_alpha 90.00
_cell_angle_beta 90.00
_cell_angle_gamma 120.00
loop_
_atom_site_label
_atom_site_type_symbol
_atom_site_fract_x
_atom_site_fract_y
_atom_site_fract_z
Li1 Li 0.3333 0.6667 0.3792
Pm1 Pm 0.0000 0.0000 0.0000
Ni1 Ni 0.0000 0.0000 0.5000
H1 H 0.1665 0.3330 0.6531
H2 H 0.3333 0.6667 0.0605
```


First-principles (PBE-GGA) data for a geometry-optimized PrThTe structure, as listed in Alexandria.

Properties
Its energy above the most stable polymorph in this dataset is 0 meV/atom. Its density of states at the Fermi level is 7.26 states/eV/cell. For the electronic total energy, the calculation gives -34.7 eV per cell. The formation energy from raw total energies comes out at -0.68 eV/atom.

Cell and atoms, written as CIF:
```
data_PrThTe
_chemical_formula_sum 'Pr2 Th2 Te2'
_symmetry_space_group_name_H-M 'P -6 m 2'
_symmetry_Int_Tables_number 187
_symmetry_space_group_name_Hall 'P -6 2'
_cell_length_a 3.9402
_cell_length_b 3.9402
_cell_length_c 14.9216
_cell_angle_alpha 90.00
_cell_angle_beta 90.00
_cell_angle_gamma 120.00
loop_
_atom_site_label
_atom_site_type_symbol
_atom_site_fract_x
_atom_site_fract_y
_atom_site_fract_z
Pr1 Pr 0.0000 0.0000 0.1953
Th1 Th 0.0000 0.0000 0.5000
Th2 Th 0.6667 0.3333 0.0000
Te1 Te 0.6667 0.3333 0.3493
```


First-principles (PBE-GGA) data for a geometry-optimized RuPb2Cl structure, as listed in Alexandria.

Properties
Its energy above the most stable polymorph in this dataset is 528 meV/atom. Its density of states at the Fermi level is 4.86 states/eV/cell. For the electronic total energy, the calculation gives -65.5 eV per cell. The formation energy from raw total energies comes out at 0.54 eV/atom.

Cell and atoms, written as CIF:
```
data_RuPb2Cl
_chemical_formula_sum 'Ru4 Pb8 Cl4'
_symmetry_space_group_name_H-M 'F -4 3 m'
_symmetry_Int_Tables_number 216
_symmetry_space_group_name_Hall 'F -4 2 3'
_cell_length_a 7.179
_cell_length_b 7.179
_cell_length_c 7.179
_cell_angle_alpha 90.00
_cell_angle_beta 90.00
_cell_angle_gamma 90.00
loop_
_atom_site_label
_atom_site_type_symbol
_atom_site_fract_x
_atom_site_fract_y
_atom_site_fract_z
Ru1 Ru 0.000 0.000 0.000
Pb1 Pb 0.000 0.000 0.500
Pb2 Pb 0.250 0.250 0.750
Cl1 Cl 0.250 0.250 0.250
```


First-principles (PBE-GGA) data for a geometry-optimized KTlAu2 structure, as listed in Alexandria.

Properties
The value obtained for the formation energy from the elements is -0.083 eV per atom. Its energy above the most stable polymorph in this dataset is 117 meV/atom. Its density of states at the Fermi level is 1.20 states/eV/cell. For the electronic total energy, the calculation gives -10.4 eV per cell.

Cell and atoms, written as CIF:
```
data_KTlAu2
_chemical_formula_sum 'K1 Tl1 Au2'
_symmetry_space_group_name_H-M 'P 4/m m m'
_symmetry_Int_Tables_number 123
_symmetry_space_group_name_Hall '-P 4 2'
_cell_length_a 5.275
_cell_length_b 5.275
_cell_length_c 3.873
_cell_angle_alpha 90.00
_cell_angle_beta 90.00
_cell_angle_gamma 90.00
loop_
_atom_site_label
_atom_site_type_symbol
_atom_site_fract_x
_atom_site_fract_y
_atom_site_fract_z
K1 K 0.000 0.000 0.000
Tl1 Tl 0.500 0.500 0.000
Au1 Au 0.000 0.500 0.500
```


First-principles (PBE-GGA) data for a geometry-optimized Tb8AlTl2 structure, as listed in Alexandria.

Properties
The value obtained for the formation energy from the elements is -0.071 eV per atom. Its density of states at the Fermi level is 26.20 states/eV/cell. For the electronic total energy, the calculation gives -92.6 eV per cell.

Cell and atoms, written as CIF:
```
data_Tb8AlTl2
_chemical_formula_sum 'Tb16 Al2 Tl4'
_symmetry_space_group_name_H-M 'C 1 2/m 1'
_symmetry_Int_Tables_number 12
_cell_length_a 8.828
_cell_length_b 14.941
_cell_length_c 5.548
_cell_angle_alpha 90.00
_cell_angle_beta 115.49
_cell_angle_gamma 90.00
loop_
_symmetry_equiv_pos_as_xyz
'x,y,z'
'-x,-y,-z'
'-x,y,-z'
'x,-y,z'
'x+1/2,y+1/2,z'
'-x+1/2,-y+1/2,-z'
'-x+1/2,y+1/2,-z'
'x+1/2,-y+1/2,z'
loop_
_atom_site_label
_atom_site_type_symbol
_atom_site_fract_x
_atom_site_fract_y
_atom_site_fract_z
Tb1 Tb 0.000 0.212 0.000
Tb2 Tb 0.110 0.500 0.806
Tb3 Tb 0.209 0.111 0.601
Al1 Al 0.000 0.000 0.000
Tl1 Tl 0.000 0.304 0.500
```


First-principles (PBE-GGA) data for a geometry-optimized TbPmSmHo2 structure, as listed in Alexandria.

Properties
The value obtained for the formation energy from the elements is 0.390 eV per atom. Its density of states at the Fermi level is 34.05 states/eV/cell. For the electronic total energy, the calculation gives -85.2 eV per cell.

Cell and atoms, written as CIF:
```
data_TbPmSmHo2
_chemical_formula_sum 'Tb4 Pm4 Sm4 Ho8'
_symmetry_space_group_name_H-M 'C m c m'
_symmetry_Int_Tables_number 63
_symmetry_space_group_name_Hall '-C 2c 2'
_cell_length_a 8.407
_cell_length_b 11.509
_cell_length_c 7.157
_cell_angle_alpha 90.00
_cell_angle_beta 90.00
_cell_angle_gamma 90.00
loop_
_atom_site_label
_atom_site_type_symbol
_atom_site_fract_x
_atom_site_fract_y
_atom_site_fract_z
Tb1 Tb 0.000 0.224 0.250
Pm1 Pm 0.000 0.499 0.750
Sm1 Sm 0.000 0.227 0.750
Ho1 Ho 0.187 0.000 0.000
```


First-principles (PBE-GGA) data for a geometry-optimized Tl4Hg5Sb2 structure, as listed in Alexandria.

Properties
Its energy above the most stable polymorph in this dataset is 18 meV/atom. Its density of states at the Fermi level is 3.72 states/eV/cell. For the electronic total energy, the calculation gives -18.9 eV per cell. The formation energy from raw total energies comes out at 0.03 eV/atom.

Cell and atoms, written as CIF:
```
data_Tl4Hg5Sb2
_chemical_formula_sum 'Tl4 Hg5 Sb2'
_symmetry_space_group_name_H-M 'P 1 2/m 1'
_symmetry_Int_Tables_number 10
_cell_length_a 7.987
_cell_length_b 4.479
_cell_length_c 9.605
_cell_angle_alpha 90.00
_cell_angle_beta 90.13
_cell_angle_gamma 90.00
loop_
_symmetry_equiv_pos_as_xyz
'x,y,z'
'-x,-y,-z'
'-x,y,-z'
'x,-y,z'
loop_
_atom_site_label
_atom_site_type_symbol
_atom_site_fract_x
_atom_site_fract_y
_atom_site_fract_z
Tl1 Tl 0.240 0.000 0.098
Tl2 Tl 0.240 0.000 0.644
Hg1 Hg 0.094 0.500 0.864
Hg2 Hg 0.148 0.500 0.379
Hg3 Hg 0.500 0.500 0.500
Sb1 Sb 0.475 0.500 0.850
```